{"formula": "CaTaGa3", "functional": "GGA-PBE", "state": "optimized geometry", "lattice_angstrom": [[-4.074, 2.837, 0.835], [-2.888, -3.512, -2.162], [-0.636, -2.228, 4.470]], "species": ["Ca", "Ga", "Ga", "Ga", "Ta"], "fractional_positions": [[0.000, 0.000, 0.000], [0.000, 0.500, 0.000], [0.000, 0.000, 0.500], [0.500, 0.000, 0.000], [0.500, 0.500, 0.500]], "de_polymorph_mev_per_atom": 1548, "final_energy_ev_per_atom": -3.023, "spacegroup": "Pm-3m (221)", "e_form_ev_per_atom": 1.5644}